No. 1
Density functional theory data (PBE-GGA) for a geometry-optimized Y3BPb structure.

Calculated values
The crystal system is trigonal. The total energy comes out at -26.8 eV per cell. For the formation energy, the calculation gives 590 meV/atom. Its space group is R3m.

Cell and atoms, written as CIF:
```
data_Y3BPb
_cell_length_a 5.8876
_cell_length_b 5.8876
_cell_length_c 5.8876
_cell_angle_alpha 92.85
_cell_angle_beta 92.85
_cell_angle_gamma 92.85
_space_group_name_H-M_alt 'P 1'
_space_group_IT_number 1
loop_
_space_group_symop_operation_xyz
'x,y,z'
loop_
_atom_site_label
_atom_site_type_symbol
_atom_site_fract_x
_atom_site_fract_y
_atom_site_fract_z
_atom_site_occupancy
Pb1 Pb 0.7462 0.7462 0.7462 1
Y1 Y 0.8620 0.2697 0.8620 1
Y2 Y 0.2697 0.8620 0.8620 1
Y3 Y 0.8620 0.8620 0.2697 1
B1 B 0.1351 0.1351 0.1351 1
```

No. 2
Density functional theory data (PBE-GGA) for a geometry-optimized Y3BPb structure.

Calculated values
The crystal system is triclinic. The total energy comes out at -62.5 eV per cell. For the formation energy, the calculation gives -294 meV/atom. Its space group is P1.

Cell and atoms, written as CIF:
```
data_Y3BPb
_cell_length_a 8.0988
_cell_length_b 9.6923
_cell_length_c 3.3909
_cell_angle_alpha 90.07
_cell_angle_beta 102.05
_cell_angle_gamma 100.67
_space_group_name_H-M_alt 'P 1'
_space_group_IT_number 1
loop_
_space_group_symop_operation_xyz
'x,y,z'
loop_
_atom_site_label
_atom_site_type_symbol
_atom_site_fract_x
_atom_site_fract_y
_atom_site_fract_z
_atom_site_occupancy
Y1 Y 0.3073 0.2224 0.7307 1
Y2 Y 0.4453 0.9273 0.7983 1
Y3 Y 0.9048 0.0571 0.0297 1
Y4 Y 0.7128 0.3819 0.4337 1
Y5 Y 0.0701 0.7348 0.1110 1
Y6 Y 0.4049 0.5705 0.7800 1
Pb1 Pb 0.7200 0.7542 0.4365 1
Pb2 Pb 0.0646 0.3988 0.1100 1
B1 B 0.1361 0.9740 0.6445 1
B2 B 0.2105 0.9995 0.1817 1
```

No. 3
Density functional theory data (PBE-GGA) for a geometry-optimized Y3BPb structure.

Calculated values
The crystal system is hexagonal. The total energy comes out at -59.7 eV per cell. For the formation energy, the calculation gives -14 meV/atom. Its space group is P6_3/mmc.

Cell and atoms, written as CIF:
```
data_Y3BPb
_cell_length_a 4.6026
_cell_length_b 4.6026
_cell_length_c 16.4258
_cell_angle_alpha 90.00
_cell_angle_beta 90.00
_cell_angle_gamma 120.00
_space_group_name_H-M_alt 'P 1'
_space_group_IT_number 1
loop_
_space_group_symop_operation_xyz
'x,y,z'
loop_
_atom_site_label
_atom_site_type_symbol
_atom_site_fract_x
_atom_site_fract_y
_atom_site_fract_z
_atom_site_occupancy
Pb1 Pb 0.0000 0.0000 0.0000 1
Pb2 Pb 0.0000 0.0000 0.5000 1
Y1 Y 0.0000 0.0000 0.2500 1
Y2 Y 0.0000 0.0000 0.7500 1
Y3 Y 0.3333 0.6667 0.9049 1
Y4 Y 0.3333 0.6667 0.5951 1
Y5 Y 0.6667 0.3333 0.4049 1
Y6 Y 0.6667 0.3333 0.0951 1
B1 B 0.3333 0.6667 0.7500 1
B2 B 0.6667 0.3333 0.2500 1
```

No. 4
Density functional theory data (PBE-GGA) for a geometry-optimized Y3BPb structure.

Calculated values
The crystal system is tetragonal. The total energy comes out at -56.7 eV per cell. For the formation energy, the calculation gives 282 meV/atom. Its space group is I-4m2.

Cell and atoms, written as CIF:
```
data_Y3BPb
_cell_length_a 5.9812
_cell_length_b 5.9812
_cell_length_c 9.2316
_cell_angle_alpha 71.10
_cell_angle_beta 71.10
_cell_angle_gamma 90.00
_space_group_name_H-M_alt 'P 1'
_space_group_IT_number 1
loop_
_space_group_symop_operation_xyz
'x,y,z'
loop_
_atom_site_label
_atom_site_type_symbol
_atom_site_fract_x
_atom_site_fract_y
_atom_site_fract_z
_atom_site_occupancy
Pb1 Pb 0.6284 0.1284 0.7432 1
Pb2 Pb 0.8716 0.3716 0.2568 1
Y1 Y 0.1529 0.8945 0.2110 1
Y2 Y 0.1055 0.8471 0.7890 1
Y3 Y 0.1055 0.3639 0.7890 1
Y4 Y 0.6361 0.8945 0.2110 1
Y5 Y 0.2845 0.2845 0.4310 1
Y6 Y 0.7155 0.7155 0.5690 1
B1 B 0.0000 0.0000 0.0000 1
B2 B 0.2500 0.7500 0.5000 1
```

No. 5
Density functional theory data (PBE-GGA) for a geometry-optimized Y3BPb structure.

Calculated values
The crystal system is tetragonal. The total energy comes out at -28.2 eV per cell. For the formation energy, the calculation gives 317 meV/atom. Its space group is P4mm.

Cell and atoms, written as CIF:
```
data_Y3BPb
_cell_length_a 4.2245
_cell_length_b 4.2245
_cell_length_c 8.5470
_cell_angle_alpha 90.00
_cell_angle_beta 90.00
_cell_angle_gamma 90.00
_space_group_name_H-M_alt 'P 1'
_space_group_IT_number 1
loop_
_space_group_symop_operation_xyz
'x,y,z'
loop_
_atom_site_label
_atom_site_type_symbol
_atom_site_fract_x
_atom_site_fract_y
_atom_site_fract_z
_atom_site_occupancy
Pb1 Pb 0.0000 0.0000 0.2995 1
Y1 Y 0.0000 0.0000 0.9299 1
Y2 Y 0.5000 0.0000 0.6186 1
Y3 Y 0.0000 0.5000 0.6186 1
B1 B 0.5000 0.5000 0.7971 1
```

No. 6
Density functional theory data (PBE-GGA) for a geometry-optimized Y3BPb structure.

Calculated values
The crystal system is monoclinic. The total energy comes out at -62.3 eV per cell. For the formation energy, the calculation gives -274 meV/atom. Its space group is C2/m.

Cell and atoms, written as CIF:
```
data_Y3BPb
_cell_length_a 14.9981
_cell_length_b 6.6941
_cell_length_c 6.6941
_cell_angle_alpha 148.46
_cell_angle_beta 130.02
_cell_angle_gamma 49.98
_space_group_name_H-M_alt 'P 1'
_space_group_IT_number 1
loop_
_space_group_symop_operation_xyz
'x,y,z'
loop_
_atom_site_label
_atom_site_type_symbol
_atom_site_fract_x
_atom_site_fract_y
_atom_site_fract_z
_atom_site_occupancy
Pb1 Pb 0.8668 0.9969 0.0031 1
Pb2 Pb 0.1332 0.0031 0.9969 1
Y1 Y 0.3815 0.6769 0.3231 1
Y2 Y 0.6185 0.3231 0.6769 1
Y3 Y 0.1118 0.2893 0.7107 1
Y4 Y 0.8882 0.7107 0.2893 1
Y5 Y 0.6659 0.5374 0.4626 1
Y6 Y 0.3341 0.4626 0.5374 1
B1 B 0.5509 0.0086 0.9914 1
B2 B 0.4491 0.9914 0.0086 1
```

No. 7
Density functional theory data (PBE-GGA) for a geometry-optimized Y3BPb structure.

Calculated values
The crystal system is trigonal. The total energy comes out at -61.5 eV per cell. For the formation energy, the calculation gives -192 meV/atom. Its space group is R-3.

Cell and atoms, written as CIF:
```
data_Y3BPb
_cell_length_a 7.8543
_cell_length_b 7.8543
_cell_length_c 7.8543
_cell_angle_alpha 52.79
_cell_angle_beta 52.79
_cell_angle_gamma 52.79
_space_group_name_H-M_alt 'P 1'
_space_group_IT_number 1
loop_
_space_group_symop_operation_xyz
'x,y,z'
loop_
_atom_site_label
_atom_site_type_symbol
_atom_site_fract_x
_atom_site_fract_y
_atom_site_fract_z
_atom_site_occupancy
Pb1 Pb 0.3660 0.3660 0.3660 1
Pb2 Pb 0.6340 0.6340 0.6340 1
Y1 Y 0.4283 0.0198 0.8274 1
Y2 Y 0.0198 0.8274 0.4283 1
Y3 Y 0.1726 0.5717 0.9802 1
Y4 Y 0.9802 0.1726 0.5717 1
Y5 Y 0.5717 0.9802 0.1726 1
Y6 Y 0.8274 0.4283 0.0198 1
B1 B 0.1630 0.1630 0.1630 1
B2 B 0.8370 0.8370 0.8370 1
```

No. 8
Density functional theory data (PBE-GGA) for a geometry-optimized Y3BPb structure.

Calculated values
The crystal system is triclinic. The total energy comes out at -62.5 eV per cell. For the formation energy, the calculation gives -293 meV/atom. Its space group is P1.

Cell and atoms, written as CIF:
```
data_Y3BPb
_cell_length_a 8.9371
_cell_length_b 9.7493
_cell_length_c 3.3609
_cell_angle_alpha 89.94
_cell_angle_beta 79.07
_cell_angle_gamma 62.42
_space_group_name_H-M_alt 'P 1'
_space_group_IT_number 1
loop_
_space_group_symop_operation_xyz
'x,y,z'
loop_
_atom_site_label
_atom_site_type_symbol
_atom_site_fract_x
_atom_site_fract_y
_atom_site_fract_z
_atom_site_occupancy
Y1 Y 0.2301 0.9849 0.7588 1
Y2 Y 0.5580 0.4303 0.0956 1
Y3 Y 0.8243 0.0406 0.4595 1
Y4 Y 0.7076 0.7046 0.5194 1
Y5 Y 0.1635 0.7062 0.2949 1
Y6 Y 0.2006 0.3737 0.7753 1
Pb1 Pb 0.5005 0.0753 0.1231 1
Pb2 Pb 0.9167 0.3152 0.4180 1
B1 B 0.4504 0.7292 0.1492 1
B2 B 0.4247 0.6841 0.6622 1
```